A crystal of InFeBi2Ir relaxed with PBEsol. Source: Alexandria via LeMat-Bulk, functional meta-GGA SCAN.

```
InFeBi2Ir
1.0
5.435 0.000 0.000
0.000 5.435 0.000
0.000 0.000 4.649
In Fe Bi Ir
1 1 2 1
Direct
0.000 0.000 0.000
0.000 0.000 0.500
0.000 0.500 0.000
0.500 0.000 0.000
0.500 0.500 0.500
```

Results
D(E_F) ... 5.18 states/eV/f.u.
Volume ... 27.5 A^3/atom
Calculated formation energy ... 1.83 eV per atom
E_tot ... -54.1247 eV per atom
Space-group type ... No. 123
Size of the total moment ... 4.1 Bohr magnetons per cell